Material: NaFeH4SO6F
Method: DFT, PBE with a Hubbard U
State: relaxed

abc: 5.841 7.292 7.470
angles: 89.97 89.90 112.75
Last column: magnetic moment on the atom in μB.
Sites, in units of the cell vectors:
H 0.193 0.120 0.591  0.00
Fe 0.500 0.500 0.000  3.79
Fe 0.500 0.500 0.500  3.81
F 0.385 0.533 0.251  0.05
O 0.290 0.677 0.914  0.01
O 0.594 0.958 0.750  0.00
H 0.194 0.120 0.908  0.00
H 0.807 0.880 0.409  0.00
O 0.710 0.324 0.086  0.01
O 0.710 0.324 0.412  0.01
Na 0.132 0.706 0.249  0.00
O 0.162 0.235 0.955  0.01
S 0.659 0.194 0.250  0.00
O 0.838 0.765 0.045  0.01
O 0.162 0.235 0.544  0.01
F 0.615 0.467 0.749  0.05
H 0.932 0.809 0.931  0.00
Na 0.868 0.294 0.751  0.00
H 0.068 0.191 0.069  0.00
O 0.848 0.096 0.250  0.01
O 0.290 0.676 0.588  0.01
O 0.406 0.042 0.250  0.00
S 0.341 0.806 0.750  0.00
O 0.152 0.904 0.750  0.01
H 0.932 0.809 0.569  0.00
O 0.838 0.765 0.456  0.01
H 0.806 0.880 0.092  0.00
H 0.068 0.191 0.431  0.00

Calculated values
symmetry = No. 2
calculated total energy = -154.1 eV/cell
crystal system = triclinic
M_tot = 4.0 μB/f.u.